Entry 1:
Compound: Sc2NiHg
Source: Alexandria via LeMat-Bulk
Functional: GGA-PBE
Structure: optimized geometry

Properties
formation energy	-1.86	eV/f.u.
E_tot	-5.151	eV per atom
SG	No. 123

Unit cell a=3.2754 b=3.2754 c=7.0484 alpha=90.00 beta=90.00 gamma=90.00
Fractional coordinates of all 4 atoms:
Sc 0.0000 0.0000 0.2144
Sc 0.0000 0.0000 0.7856
Ni 0.5000 0.5000 0.0000
Hg 0.5000 0.5000 0.5000

Entry 2:
Compound: CsNaWSe4
Source: Alexandria via LeMat-Bulk
Functional: GGA-PBE
Structure: optimized geometry

Properties
E_tot	-4.938	eV per atom
formation energy (no corrections)	-786	meV/atom
SG	No. 11

Unit cell a=6.8773 b=7.4631 c=10.0223 alpha=90.00 beta=108.61 gamma=90.00
Fractional coordinates of all 14 atoms:
Cs 0.2262 0.2500 0.4239
Cs 0.7738 0.7500 0.5761
Na 0.2724 0.2500 0.9550
Na 0.7276 0.7500 0.0450
W 0.3030 0.7500 0.1798
W 0.6970 0.2500 0.8202
Se 0.0996 0.7500 0.9451
Se 0.1054 0.7500 0.3326
Se 0.4815 0.5021 0.7787
Se 0.4815 0.9979 0.7787
Se 0.5185 0.0021 0.2213
Se 0.5185 0.4979 0.2213
Se 0.8946 0.2500 0.6674
Se 0.9004 0.2500 0.0549

Entry 3:
Compound: RbDyPb2I8
Source: Alexandria via LeMat-Bulk
Functional: GGA-PBE
Structure: optimized geometry

Properties
E_tot	-3.106	eV per atom
formation energy (no corrections)	-990	meV/atom
SG	No. 2

Unit cell a=7.3937 b=7.8228 c=9.8704 alpha=89.96 beta=89.89 gamma=88.72
Fractional coordinates of all 12 atoms:
Rb 0.0000 0.0000 0.0000
Dy 0.0000 0.0000 0.5000
Pb 0.4998 0.5002 0.2509
Pb 0.5002 0.4998 0.7491
I 0.2331 0.3253 0.5003
I 0.2482 0.8466 0.7141
I 0.2491 0.8477 0.2854
I 0.2667 0.3760 0.0005
I 0.7333 0.6240 0.9995
I 0.7509 0.1523 0.7146
I 0.7518 0.1534 0.2859
I 0.7669 0.6747 0.4997